Density functional theory data (PBE with a Hubbard U) for MnPd3F after structural relaxation.

Summary:
The density comes out at 7.8 g/cm3. The uncorrected energy comes out at -24.48 eV for the cell shown. The density of states at the Fermi level comes out at 1.581 states/eV/f.u. As for the energy relative to the lowest polymorph listed for this composition: 0 meV per atom.

a b c (Å): 4.3732 4.3732 4.3732
angles (deg): 90.00 90.00 90.00
With the nearest neighbours (Å) after each atom.
Space group Pm-3m (No. 221)
Inequivalent atoms, fractional coordinates:
Mn: 0.0000 0.0000 0.0000 [1 per cell]  12 Pd 3.09
Pd: 0.0000 0.5000 0.5000 [3 per cell]  2 F 2.19
F: 0.5000 0.5000 0.5000 [1 per cell]  6 Pd 2.19